RbNaHfS3 | GGA-PBE | optimized geometry

## Properties
The total energy is -5.448 eV/atom.

abc: 15.002 3.876 10.893
angles: 90.00 90.00 90.00
Fractional positions:
1 Hf 0.513 0.250 0.657
2 S 0.083 0.250 0.064
3 S 0.917 0.750 0.936
4 S 0.421 0.250 0.845
5 S 0.579 0.750 0.155
6 Na 0.531 0.750 0.914
7 Na 0.969 0.250 0.414
8 Rb 0.740 0.250 0.978
9 Rb 0.240 0.250 0.522
10 S 0.921 0.250 0.655
11 S 0.417 0.750 0.564
12 Hf 0.987 0.750 0.157
13 Hf 0.013 0.250 0.843
14 Hf 0.487 0.750 0.343
15 Na 0.031 0.750 0.586
16 Rb 0.260 0.750 0.022
17 S 0.621 0.750 0.712
18 S 0.583 0.250 0.436
19 Rb 0.760 0.750 0.478
20 Na 0.469 0.250 0.086
21 S 0.879 0.250 0.212
22 S 0.379 0.250 0.288
23 S 0.079 0.750 0.345
24 S 0.121 0.750 0.788